# ZnSbWF2, optimized geometry, DFT GGA+U
data_ZnSbWF2
_chemical_formula_sum 'Zn1 Sb1 W1 F2'
_cell_length_a 3.9500
_cell_length_b 3.9500
_cell_length_c 6.9307
_cell_angle_alpha 90.00
_cell_angle_beta 90.00
_cell_angle_gamma 90.00
_space_group_name_H-M_alt 'P 1'
_space_group_IT_number 1
loop_
_space_group_symop_operation_xyz
'x,y,z'
loop_
_atom_site_label
_atom_site_type_symbol
_atom_site_fract_x
_atom_site_fract_y
_atom_site_fract_z
Zn1 Zn 0.0000 0.0000 0.0000
Sb1 Sb 0.5000 0.5000 0.5000
W1 W 0.0000 0.0000 0.5000
F1 F 0.0000 0.5000 0.0000
F2 F 0.5000 0.0000 0.0000
# space-group type	P4/mmm
# spin magnetization	3.06	Bohr magnetons per cell
# N(E_F)	0.12	states/eV/atom
# uncorrected energy	-0.1445	hartree per atom